{"formula": "InNi2Hg2", "functional": "PBE", "state": "relaxed", "formation_energy_ev_per_atom": 0.32, "total_energy_ev_per_atom": -2.66, "sg": "No. 139", "density_g_cm3": 10.88, "crystal_system": "tetragonal", "cell": [[3.993, 0.000, 0.000], [0.000, 3.993, 0.000], [1.996, 1.996, 6.066]], "species": ["Ni", "Ni", "Hg", "Hg", "In"], "frac_coords": [[0.406, 0.406, 0.188], [0.594, 0.594, 0.812], [0.750, 0.250, 0.500], [0.250, 0.750, 0.500], [0.000, 0.000, 0.000]]}

{"formula": "In2NiHg2", "functional": "PBE", "state": "relaxed", "formation_energy_ev_per_atom": 0.26, "total_energy_ev_per_atom": -2.11, "sg": "No. 127", "density_g_cm3": 9.56, "crystal_system": "tetragonal", "cell": [[-3.407, 2.458, 5.570], [-6.029, -2.247, -2.696], [0.595, -4.323, 2.272]], "species": ["Ni", "Ni", "Hg", "Hg", "Hg", "Hg", "In", "In", "In", "In"], "frac_coords": [[0.000, 0.000, 0.000], [0.500, 0.500, 0.000], [0.341, 0.841, 0.000], [0.841, 0.659, 0.000], [0.659, 0.159, 0.000], [0.159, 0.341, 0.000], [0.167, 0.667, 0.500], [0.667, 0.833, 0.500], [0.833, 0.333, 0.500], [0.333, 0.167, 0.500]]}

{"formula": "In2NiHg2", "functional": "PBE", "state": "relaxed", "formation_energy_ev_per_atom": 0.19, "total_energy_ev_per_atom": -2.19, "sg": "No. 127", "density_g_cm3": 8.96, "crystal_system": "tetragonal", "cell": [[-4.917, -3.118, -3.755], [-3.047, -2.203, 5.819], [-2.929, 4.442, 0.148]], "species": ["Ni", "Ni", "Hg", "Hg", "Hg", "Hg", "In", "In", "In", "In"], "frac_coords": [[0.000, 0.000, 0.000], [0.500, 0.500, 0.000], [0.160, 0.660, 0.500], [0.660, 0.840, 0.500], [0.840, 0.340, 0.500], [0.340, 0.160, 0.500], [0.315, 0.815, 0.000], [0.815, 0.685, 0.000], [0.685, 0.185, 0.000], [0.185, 0.315, 0.000]]}

{"formula": "In2Ni2Hg", "functional": "PBE", "state": "relaxed", "formation_energy_ev_per_atom": 0.22, "total_energy_ev_per_atom": -3.24, "sg": "No. 139", "density_g_cm3": 9.36, "crystal_system": "tetragonal", "cell": [[4.164, 0.000, 0.000], [0.000, 4.164, 0.000], [2.082, 2.082, 5.605]], "species": ["Ni", "Ni", "Hg", "In", "In"], "frac_coords": [[0.397, 0.397, 0.207], [0.603, 0.603, 0.793], [0.000, 0.000, 0.000], [0.750, 0.250, 0.500], [0.250, 0.750, 0.500]]}

{"formula": "InNi2Hg", "functional": "PBE", "state": "relaxed", "formation_energy_ev_per_atom": 0.12, "total_energy_ev_per_atom": -3.53, "sg": "No. 8", "density_g_cm3": 11.19, "crystal_system": "monoclinic", "cell": [[-0.363, 5.099, -0.660], [-1.755, 4.445, 1.929], [3.453, 1.761, 2.301]], "species": ["Hg", "In", "Ni", "Ni"], "frac_coords": [[0.482, 0.482, 0.559], [0.268, 0.268, 0.191], [0.022, 0.022, 0.031], [0.727, 0.727, 0.719]]}

{"formula": "InNi2Hg", "functional": "PBE", "state": "relaxed", "formation_energy_ev_per_atom": 0.20, "total_energy_ev_per_atom": -3.45, "sg": "No. 166", "density_g_cm3": 10.82, "crystal_system": "trigonal", "cell": [[-5.733, 6.023, 0.181], [-7.428, 3.602, 1.018], [-5.771, 5.116, 3.116]], "species": ["Hg", "In", "Ni", "Ni"], "frac_coords": [[0.250, 0.250, 0.250], [0.750, 0.750, 0.750], [0.002, 0.002, 0.002], [0.498, 0.498, 0.498]]}

Repeat the first record exactly.
{"formula": "InNi2Hg2", "functional": "PBE", "state": "relaxed", "formation_energy_ev_per_atom": 0.32, "total_energy_ev_per_atom": -2.66, "sg": "No. 139", "density_g_cm3": 10.88, "crystal_system": "tetragonal", "cell": [[3.993, 0.000, 0.000], [0.000, 3.993, 0.000], [1.996, 1.996, 6.066]], "species": ["Ni", "Ni", "Hg", "Hg", "In"], "frac_coords": [[0.406, 0.406, 0.188], [0.594, 0.594, 0.812], [0.750, 0.250, 0.500], [0.250, 0.750, 0.500], [0.000, 0.000, 0.000]]}